First-principles (PBE) data for a relaxed structure of CaSiNiBi2, as listed in Alexandria via LeMat-Bulk.

Calculated values
Its uncorrected formation energy is 0.69 eV/atom. The value obtained for the total magnetization is 0.81 μB per cell.

a = 5.3788 Å, b = 5.3788 Å, c = 5.3757 Å
α = 90.00°, β = 90.00°, γ = 90.00°
Last column: nearest neighbours and their distance in Å.
Space group P4/mmm (No. 123)
Asymmetric unit:
Ca 0.0000 0.0000 0.0000 (multiplicity 1)  2 Si 2.69
Si 0.0000 0.0000 0.5000 (multiplicity 1)  2 Ca 2.69, 4 Bi 2.69
Ni 0.5000 0.5000 0.0000 (multiplicity 1)  8 Bi 3.80, 4 Ca 3.80
Bi 0.0000 0.5000 0.5000 (multiplicity 2)  2 Si 2.69

=====

First-principles (PBE) data for a relaxed structure of MnCdNiB2, as listed in Alexandria via LeMat-Bulk.

Calculated values
The energy relative to the elements is 2424 meV per atom. The value obtained for the total magnetization is 0.18 μB per cell.

a = 4.1123 Å, b = 4.1123 Å, c = 4.7257 Å
α = 90.00°, β = 90.00°, γ = 90.00°
Last column: nearest neighbours and their distance in Å.
Space group P4/mmm (No. 123)
Asymmetric unit:
Mn 0.0000 0.0000 0.0000 (multiplicity 1)  4 Ni 2.91, 8 B 3.13
Cd 0.5000 0.5000 0.5000 (multiplicity 1)  4 B 2.06
Ni 0.5000 0.5000 0.0000 (multiplicity 1)  2 Cd 2.36
B 0.0000 0.5000 0.5000 (multiplicity 2)  2 Cd 2.06

=====

First-principles (PBE) data for a relaxed structure of Er4Ir3Au, as listed in Alexandria via LeMat-Bulk.

Calculated values
The energy relative to the elements is -869 meV per atom. The value obtained for the total magnetization is 0.00 μB per cell.

a = 4.9295 Å, b = 4.9295 Å, c = 6.6903 Å
α = 90.00°, β = 90.00°, γ = 90.00°
Last column: nearest neighbours and their distance in Å.
Space group P4/mmm (No. 123)
Asymmetric unit:
Er 0.0000 0.5000 0.2430 (multiplicity 4)  6 Ir 2.95-3.01, 2 Au 3.01, 1 Er 3.25
Ir 0.0000 0.0000 0.0000 (multiplicity 1)  8 Er 2.95
Ir 0.0000 0.0000 0.5000 (multiplicity 1)  8 Er 3.01, 2 Ir 3.35
Ir 0.5000 0.5000 0.0000 (multiplicity 1)  8 Er 2.95
Au 0.5000 0.5000 0.5000 (multiplicity 1)  8 Er 3.01, 2 Ir 3.35

=====

First-principles (PBE) data for a relaxed structure of Pa2RuO6, as listed in Alexandria via LeMat-Bulk.

Calculated values
Its uncorrected formation energy is -2.78 eV/atom. The value obtained for the total magnetization is 4.00 μB per cell.

a = 6.1748 Å, b = 6.1345 Å, c = 8.9653 Å
α = 90.00°, β = 90.03°, γ = 90.00°
Last column: nearest neighbours and their distance in Å.
Space group P2_1/c (No. 14)
Asymmetric unit:
Pa 0.2353 0.2495 0.2500 (multiplicity 4)  6 O 2.11-2.25
Ru 0.5000 0.0000 0.0000 (multiplicity 2)  4 O 2.03
O 0.0008 0.5012 0.7605 (multiplicity 4)  2 Pa 2.11
O 0.2686 0.2356 0.0001 (multiplicity 4)  1 Ru 2.03, 2 Pa 2.25
O 0.4994 0.9998 0.7734 (multiplicity 4)  1 Ru 2.03, 2 Pa 2.25

=====

First-principles (PBE) data for a relaxed structure of Pr14YTl, as listed in Alexandria via LeMat-Bulk.

Calculated values
The energy relative to the elements is -30 meV per atom. The value obtained for the total magnetization is 0.00 μB per cell.

a = 10.4141 Å, b = 10.3499 Å, c = 10.3501 Å
α = 90.00°, β = 90.00°, γ = 90.00°
Last column: nearest neighbours and their distance in Å.
Space group Amm2 (No. 38)
Asymmetric unit:
Pr 0.0000 0.0000 0.0000 (multiplicity 2)  12 Pr 3.65-3.72
Pr 0.0000 0.0000 0.4992 (multiplicity 2)  12 Pr 3.65-3.70
Pr 0.0000 0.2495 0.2494 (multiplicity 4)  12 Pr 3.65-3.71
Pr 0.2540 0.0000 0.7478 (multiplicity 4)  1 Tl 3.63, 10 Pr 3.63-3.72, 1 Y 3.65
Pr 0.2549 0.2483 0.4995 (multiplicity 8)  1 Tl 3.62, 10 Pr 3.63-3.72, 1 Y 3.65
Pr 0.2558 0.0000 0.2514 (multiplicity 4)  1 Tl 3.62, 10 Pr 3.63-3.72, 1 Y 3.64
Pr 0.5000 0.2490 0.7491 (multiplicity 4)  8 Pr 3.63-3.64, 2 Tl 3.65-3.67, 2 Y 3.65-3.66
Y 0.5000 0.0000 0.9993 (multiplicity 2)  12 Pr 3.64-3.66
Tl 0.5000 0.0000 0.4996 (multiplicity 2)  12 Pr 3.62-3.67

=====

First-principles (PBE) data for a relaxed structure of TaReAu2, as listed in Alexandria via LeMat-Bulk.

Calculated values
The energy above the lowest structure with this stoichiometry comes out at 0 meV/atom. The energy relative to the elements is 108 meV per atom. The value obtained for the total magnetization is 0.00 μB per cell.

a = 3.3281 Å, b = 4.5661 Å, c = 9.1094 Å
α = 90.00°, β = 90.00°, γ = 90.00°
Last column: nearest neighbours and their distance in Å.
Space group Cmm2 (No. 35)
Asymmetric unit:
Ta 0.0000 0.0000 0.0000 (multiplicity 2)  2 Re 2.66, 4 Ta 2.83, 2 Au 2.83
Re 0.0000 0.5000 0.2284 (multiplicity 2)  2 Ta 2.66, 4 Re 2.83, 2 Au 2.85
Au 0.0000 0.0000 0.4827 (multiplicity 2)  6 Au 2.83-2.94, 2 Re 2.85
Au 0.0000 0.5000 0.7488 (multiplicity 2)  6 Au 2.83-2.94, 2 Ta 2.83

=====

First-principles (PBE) data for a relaxed structure of Cs2KAcF6, as listed in Alexandria via LeMat-Bulk.

Calculated values
Its uncorrected formation energy is -3.31 eV/atom. The value obtained for the total magnetization is 0.00 μB per cell.

a = 6.9903 Å, b = 7.0857 Å, c = 12.0906 Å
α = 90.00°, β = 124.94°, γ = 90.00°
Last column: nearest neighbours and their distance in Å.
Space group P2_1/c (No. 14)
Asymmetric unit:
Cs 0.2388 0.0369 0.2488 (multiplicity 4)  6 F 3.01-3.36
K 0.0000 0.0000 0.5000 (multiplicity 2)  6 F 2.69-2.71
Ac 0.5000 0.0000 0.0000 (multiplicity 2)  6 F 2.42
F 0.1821 0.1966 0.9581 (multiplicity 4)  1 Ac 2.42, 1 K 2.69
F 0.2566 0.7261 0.9512 (multiplicity 4)  1 Ac 2.42, 1 K 2.71
F 0.3489 0.0331 0.7641 (multiplicity 4)  1 Ac 2.42, 1 K 2.70

=====

First-principles (PBE) data for a relaxed structure of CaAsW3, as listed in Alexandria via LeMat-Bulk.

Calculated values
The energy above the lowest structure with this stoichiometry comes out at 0 meV/atom. The energy relative to the elements is 1307 meV per atom. The value obtained for the total magnetization is 0.00 μB per cell.

a = 4.7187 Å, b = 4.7187 Å, c = 4.7187 Å
α = 90.00°, β = 90.00°, γ = 90.00°
Last column: nearest neighbours and their distance in Å.
Space group Pm-3m (No. 221)
Asymmetric unit:
Ca 0.0000 0.0000 0.0000 (multiplicity 1)  12 W 3.34
As 0.5000 0.5000 0.5000 (multiplicity 1)  6 W 2.36
W 0.0000 0.5000 0.5000 (multiplicity 3)  2 As 2.36

=====

First-principles (PBE) data for a relaxed structure of Tb5NdY8, as listed in Alexandria via LeMat-Bulk.

Calculated values
The energy relative to the elements is 240 meV per atom. The value obtained for the total magnetization is 0.00 μB per cell.

a = 9.5482 Å, b = 9.5482 Å, c = 10.2441 Å
α = 90.00°, β = 90.00°, γ = 90.00°
Last column: nearest neighbours and their distance in Å.
Space group I-4 (No. 82)
Asymmetric unit:
Tb 0.0000 0.0000 0.0000 (multiplicity 2)  8 Y 3.13-3.31
Tb 0.1108 0.7887 0.5736 (multiplicity 8)  8 Y 3.38-3.58, 2 Tb 3.56
Nd 0.0000 0.5000 0.2500 (multiplicity 2)  4 Y 3.21
Y 0.0720 0.6782 0.8996 (multiplicity 8)  5 Tb 3.31-3.53, 3 Y 3.59-3.67
Y 0.0844 0.8257 0.2467 (multiplicity 8)  4 Tb 3.13-3.50, 1 Nd 3.21

=====

First-principles (PBE) data for a relaxed structure of Ta3TcRu2, as listed in Alexandria via LeMat-Bulk.

Calculated values
The energy relative to the elements is -375 meV per atom. The value obtained for the total magnetization is 0.00 μB per cell.

a = 3.2030 Å, b = 3.2030 Å, c = 9.4026 Å
α = 90.00°, β = 90.00°, γ = 90.00°
Last column: nearest neighbours and their distance in Å.
Space group P4/mmm (No. 123)
Asymmetric unit:
Ta 0.0000 0.0000 0.0000 (multiplicity 1)  8 Ru 2.74
Ta 0.0000 0.0000 0.3348 (multiplicity 2)  4 Tc 2.75, 4 Ru 2.78
Tc 0.5000 0.5000 0.5000 (multiplicity 1)  8 Ta 2.75
Ru 0.5000 0.5000 0.1635 (multiplicity 2)  8 Ta 2.74-2.78

=====

First-principles (PBE) data for a relaxed structure of NaInGePt2, as listed in Alexandria via LeMat-Bulk.

Calculated values
The energy relative to the elements is -301 meV per atom. The value obtained for the total magnetization is 0.00 μB per cell.

a = 4.0699 Å, b = 4.0705 Å, c = 7.6628 Å
α = 90.00°, β = 90.12°, γ = 90.00°
Last column: nearest neighbours and their distance in Å.
Space group Pm (No. 6)
Asymmetric unit:
Na 0.0000 0.0000 0.0000 (multiplicity 1)  1 Ge 2.98, 4 In 3.20
In 0.5011 0.5000 0.1835 (multiplicity 1)  4 Pt 2.74
Ge 0.0032 0.0000 0.6107 (multiplicity 1)  4 Pt 2.49
Pt 0.0021 0.5000 0.4234 (multiplicity 1)  2 Ge 2.49, 2 In 2.74
Pt 0.5023 0.0000 0.4234 (multiplicity 1)  2 Ge 2.49, 2 In 2.74

=====

First-principles (PBE) data for a relaxed structure of Rb2ZnOsO6, as listed in Alexandria via LeMat-Bulk.

Calculated values
Its uncorrected formation energy is -1.16 eV/atom. The value obtained for the total magnetization is 0.00 μB per cell.

a = 6.2346 Å, b = 6.2346 Å, c = 5.2522 Å
α = 90.00°, β = 90.00°, γ = 120.00°
Last column: nearest neighbours and their distance in Å.
Space group P-3m1 (No. 164)
Asymmetric unit:
Rb 0.3333 0.6667 0.2307 (multiplicity 2)  9 O 3.13
Zn 0.0000 0.0000 0.5000 (multiplicity 1)  6 O 2.14
Os 0.0000 0.0000 0.0000 (multiplicity 1)  6 O 1.89
O 0.1407 0.2814 0.7860 (multiplicity 6)  1 Os 1.89

=====

| no. | final energy (eV per atom) |
| --- | --- |
| 1 | -3.501 |
| 2 | -3.421 |
| 3 | -6.883 |
| 4 | -9.227 |
| 5 | -4.764 |
| 6 | -7.606 |
| 7 | -5.126 |
| 8 | -7.795 |
| 9 | -5.448 |
| 10 | -11.121 |
| 11 | -4.452 |
| 12 | -5.583 |